Record 1
This record from Alexandria via LeMat-Bulk describes a relaxed structure of NaTbNp2Se4. The functional is PBE.

Output
Uncorrected formation energy ... -1.288 eV per atom
Uncorrected energy ... -7.01 eV per atom

Cell: 7.155 4.108 7.220 Å, 90.00 109.41 90.00°
Space group P2/m (No. 10)
Symmetry-distinct sites (fractional):
1 Na 0.000 0.000 0.000 (multiplicity 1)
2 Tb 0.000 0.500 0.500 (multiplicity 1)
3 Np 0.500 0.000 0.500 (multiplicity 1)
4 Np 0.500 0.500 0.000 (multiplicity 1)
5 Se 0.248 0.000 0.750 (multiplicity 2)
6 Se 0.251 0.500 0.255 (multiplicity 2)

=====

Record 2
This record from Alexandria via LeMat-Bulk describes a relaxed structure of Na4TbNp3Se8. The functional is PBE.

Output
Uncorrected formation energy ... -1.322 eV per atom
Uncorrected energy ... -6.11 eV per atom

Cell: 8.3837 8.3837 20.9231 Å, 90.00 90.00 120.00°
Space group R-3m (No. 166, hexagonal axes)
Symmetry-distinct sites (fractional):
1 Na 0.0000 0.0000 0.0000 (multiplicity 3)
2 Na 0.0000 0.5000 0.0000 (multiplicity 9)
3 Tb 0.0000 0.0000 0.5000 (multiplicity 3)
4 Np 0.0000 0.5000 0.5000 (multiplicity 9)
5 Se 0.0000 0.0000 0.2430 (multiplicity 6)
6 Se 0.0018 0.5009 0.2439 (multiplicity 18)

=====

Record 3
This record from Alexandria via LeMat-Bulk describes a relaxed structure of NaTb2Np3Se6. The functional is PBE.

Output
Uncorrected formation energy ... -1.338 eV per atom
Uncorrected energy ... -7.20 eV per atom

Cell: 17.964 4.102 8.268 Å, 90.00 103.13 90.00°
Space group C2/m (No. 12)
Symmetry-distinct sites (fractional):
1 Na 0.000 0.000 0.000 (multiplicity 2)
2 Tb 0.168 0.500 0.337 (multiplicity 4)
3 Np 0.000 0.000 0.500 (multiplicity 2)
4 Np 0.167 0.500 0.834 (multiplicity 4)
5 Se 0.002 0.500 0.252 (multiplicity 4)
6 Se 0.167 0.000 0.085 (multiplicity 4)
7 Se 0.167 0.000 0.584 (multiplicity 4)

=====

Record 4
This record from Alexandria via LeMat-Bulk describes a relaxed structure of Na3Tb2NpSe6. The functional is PBE.

Output
Uncorrected formation energy ... -1.526 eV per atom
Uncorrected energy ... -5.45 eV per atom

Cell: 7.255 12.566 7.391 Å, 90.00 109.09 90.00°
Space group C2/m (No. 12)
Symmetry-distinct sites (fractional):
1 Na 0.000 0.000 0.000 (multiplicity 2)
2 Na 0.000 0.334 0.000 (multiplicity 4)
3 Tb 0.000 0.167 0.500 (multiplicity 4)
4 Np 0.000 0.500 0.500 (multiplicity 2)
5 Se 0.240 0.000 0.731 (multiplicity 4)
6 Se 0.245 0.332 0.731 (multiplicity 8)

=====

Record 5
This record from Alexandria via LeMat-Bulk describes a relaxed structure of NaTb2NpSe4. The functional is PBE.

Output
Uncorrected formation energy ... -1.537 eV per atom
Uncorrected energy ... -6.22 eV per atom

Cell: 7.166 4.105 7.173 Å, 90.00 109.28 90.00°
Space group P2/m (No. 10)
Symmetry-distinct sites (fractional):
1 Na 0.000 0.000 0.000 (multiplicity 1)
2 Tb 0.000 0.500 0.500 (multiplicity 1)
3 Tb 0.500 0.000 0.500 (multiplicity 1)
4 Np 0.500 0.500 0.000 (multiplicity 1)
5 Se 0.249 0.000 0.748 (multiplicity 2)
6 Se 0.252 0.500 0.256 (multiplicity 2)

=====

Record 6
This record from Alexandria via LeMat-Bulk describes a relaxed structure of Na2Np2Te2Se. The functional is PBE.

Output
Uncorrected formation energy ... -0.596 eV per atom
Uncorrected energy ... -6.07 eV per atom

Cell: 5.469 5.469 15.841 Å, 90.00 90.00 90.00°
Space group I4/mmm (No. 139)
Symmetry-distinct sites (fractional):
1 Na 0.000 0.000 0.186 (multiplicity 4)
2 Np 0.000 0.500 0.000 (multiplicity 4)
3 Te 0.000 0.000 0.379 (multiplicity 4)
4 Se 0.000 0.000 0.000 (multiplicity 2)

=====

Record 7
This record from Alexandria via LeMat-Bulk describes a relaxed structure of NaNpTeSe. The functional is PBE.

Output
Uncorrected formation energy ... -1.000 eV per atom
Uncorrected energy ... -6.22 eV per atom

Cell: 4.3124 4.3124 21.8397 Å, 90.00 90.00 120.00°
Space group R3m (No. 160, hexagonal axes)
Symmetry-distinct sites (fractional):
1 Na 0.0000 0.0000 0.0000 (multiplicity 3)
2 Np 0.0000 0.0000 0.4878 (multiplicity 3)
3 Te 0.0000 0.0000 0.2399 (multiplicity 3)
4 Se 0.0000 0.0000 0.7516 (multiplicity 3)

=====

Record 8
This record from Alexandria via LeMat-Bulk describes a relaxed structure of Na3Np3TeSe8. The functional is PBE.

Output
Uncorrected formation energy ... -0.950 eV per atom
Uncorrected energy ... -5.87 eV per atom

Cell: 8.3882 8.3882 20.9159 Å, 90.00 90.00 120.00°
Space group R-3m (No. 166, hexagonal axes)
Symmetry-distinct sites (fractional):
1 Na 0.0000 0.5000 0.0000 (multiplicity 9)
2 Np 0.0000 0.5000 0.5000 (multiplicity 9)
3 Te 0.0000 0.0000 0.5000 (multiplicity 3)
4 Se 0.0000 0.0000 0.2436 (multiplicity 6)
5 Se 0.0036 0.5018 0.2424 (multiplicity 18)

=====

Record 9
This record from Alexandria via LeMat-Bulk describes a relaxed structure of Na3NpTe2Se6. The functional is PBE.

Output
Uncorrected formation energy ... -0.638 eV per atom
Uncorrected energy ... -4.31 eV per atom

Cell: 8.170 12.217 7.471 Å, 90.00 115.02 90.00°
Space group C2/m (No. 12)
Symmetry-distinct sites (fractional):
1 Na 0.000 0.000 0.000 (multiplicity 2)
2 Na 0.000 0.329 0.000 (multiplicity 4)
3 Np 0.000 0.500 0.500 (multiplicity 2)
4 Te 0.000 0.171 0.500 (multiplicity 4)
5 Se 0.211 0.333 0.750 (multiplicity 8)
6 Se 0.247 0.500 0.299 (multiplicity 4)

=====

Record 10
This record from Alexandria via LeMat-Bulk describes a relaxed structure of Na2ThNpSe4. The functional is PBE.

Output
Uncorrected formation energy ... -1.353 eV per atom
Uncorrected energy ... -5.97 eV per atom

Cell: 7.269 4.203 7.490 Å, 90.00 108.92 90.00°
Space group P2/m (No. 10)
Symmetry-distinct sites (fractional):
1 Na 0.000 0.000 0.000 (multiplicity 1)
2 Na 0.500 0.500 0.000 (multiplicity 1)
3 Th 0.000 0.500 0.500 (multiplicity 1)
4 Np 0.500 0.000 0.500 (multiplicity 1)
5 Se 0.247 0.000 0.740 (multiplicity 2)
6 Se 0.255 0.500 0.265 (multiplicity 2)

=====

Record 11
This record from Alexandria via LeMat-Bulk describes a relaxed structure of Na4Th3NpSe8. The functional is PBE.

Output
Uncorrected formation energy ... -1.414 eV per atom
Uncorrected energy ... -5.69 eV per atom

Cell: 8.3569 8.3569 21.4837 Å, 90.00 90.00 120.00°
Space group R-3m (No. 166, hexagonal axes)
Symmetry-distinct sites (fractional):
1 Na 0.0000 0.0000 0.0000 (multiplicity 3)
2 Na 0.0000 0.5000 0.0000 (multiplicity 9)
3 Th 0.0000 0.5000 0.5000 (multiplicity 9)
4 Np 0.0000 0.0000 0.5000 (multiplicity 3)
5 Se 0.0000 0.0000 0.2482 (multiplicity 6)
6 Se 0.0008 0.5004 0.2468 (multiplicity 18)

=====

Record 12
This record from Alexandria via LeMat-Bulk describes a relaxed structure of Na3Th2NpSe6. The functional is PBE.

Output
Uncorrected formation energy ... -1.395 eV per atom
Uncorrected energy ... -5.78 eV per atom

Cell: 18.733 4.181 8.620 Å, 90.00 105.98 90.00°
Space group C2/m (No. 12)
Symmetry-distinct sites (fractional):
1 Na 0.000 0.000 0.000 (multiplicity 2)
2 Na 0.166 0.500 0.331 (multiplicity 4)
3 Th 0.162 0.500 0.822 (multiplicity 4)
4 Np 0.000 0.000 0.500 (multiplicity 2)
5 Se 0.001 0.500 0.743 (multiplicity 4)
6 Se 0.166 0.000 0.585 (multiplicity 4)
7 Se 0.171 0.000 0.076 (multiplicity 4)